# YMgHg2

A relaxed YMgHg2 crystal (GGA-PBE, the Alexandria database).

Values from the calculation:
ΔH_f (0 K)   -151 kJ/mol of formula units
V   23.4 A^3/atom
M_tot   0.10 μB/f.u.

a b c (Å): 3.555 3.555 7.393
angles (deg): 90.00 90.00 90.00
Space group P4/mmm (No. 123)
Unique sites:
Y (0.000, 0.000, 0.000)
Mg (0.000, 0.000, 0.500)
Hg (0.500, 0.500, 0.269)


# YMg9Hg2

A relaxed YMg9Hg2 crystal (GGA-PBE, the Alexandria database).

Values from the calculation:
ΔH_f (0 K)   -126 kJ/mol of formula units
V   23.1 A^3/atom
M_tot   0.00 μB/f.u.

a b c (Å): 12.066 12.066 7.632
angles (deg): 90.00 90.00 90.00
Space group I4_1/amd (No. 141, origin choice 2)
Unique sites:
Y (0.000, 0.250, 0.375)
Mg (0.000, 0.250, 0.875)
Mg (0.121, 0.051, 0.676)
Hg (0.000, 0.000, 0.000)


# Y2Mg2Hg3

A relaxed Y2Mg2Hg3 crystal (GGA-PBE, the Alexandria database).

Values from the calculation:
ΔH_f (0 K)   -205 kJ/mol of formula units
V   25.2 A^3/atom
M_tot   0.29 μB/f.u.

a b c (Å): 3.600 26.964 3.636
angles (deg): 90.00 90.00 90.00
Space group Cmmm (No. 65)
Unique sites:
Y (0.000, 0.072, 0.000)
Mg (0.000, 0.203, 0.000)
Hg (0.000, 0.358, 0.500)
Hg (0.000, 0.500, 0.500)


# YMgZrHg2

A relaxed YMgZrHg2 crystal (GGA-PBE, the Alexandria database).

Values from the calculation:
ΔH_f (0 K)   297 kJ/mol of formula units
V   27.0 A^3/atom
M_tot   1.74 μB/f.u.

a b c (Å): 4.996 4.996 5.406
angles (deg): 90.00 90.00 90.00
Space group P4/mmm (No. 123)
Unique sites:
Y (0.000, 0.000, 0.000)
Mg (0.000, 0.000, 0.500)
Zr (0.500, 0.500, 0.000)
Hg (0.000, 0.500, 0.500)